Computed, not measured: crystalline HgP2WO at its relaxed geometry at the GGA+U level of DFT.

Cell lengths 4.916, 4.916, 3.850 Å; angles 90.00, 90.00, 90.00 degrees
Positions (direct):
W 0.000 0.000 0.000
P 0.000 0.500 0.000
O 0.000 0.000 0.500
Hg 0.500 0.500 0.500
P 0.500 0.000 0.000

Spin magnetization, μB per formula unit: 0.2
Excess energy over the best structure of this formula in the dataset, eV/f.u.: 0.00
Density of states at the Fermi level, states/eV per atom: 0.23
Calculated total energy, eV/atom: -4.702